# 1
The following is a meta-GGA SCAN calculation of NbZnAsCl2 at its PBEsol-relaxed geometry, from the Alexandria database.

```
5
Lattice="4.2749 0.0000 0.0000 0.0000 4.2749 0.0000 0.0000 0.0000 6.9290" Properties=species:S:1:pos:R:3 pbc="T T T"
Nb 0.0000 0.0000 0.0000
Zn 0.0000 0.0000 3.4645
As 2.1374 2.1374 0.0000
Cl 0.0000 2.1374 3.4645
Cl 2.1374 0.0000 3.4645
```

Properties
**Total magnetization**: 2.00 μB/f.u.
**Space-group type**: No. 123



# 2
The following is a meta-GGA SCAN calculation of Nd5As4Cl3O12 at its PBEsol-relaxed geometry, from the Alexandria database.

```
48
Lattice="10.1712 0.0000 0.0000 0.0000 5.4110 0.0000 -9.4524 0.0000 13.9267" Properties=species:S:1:pos:R:3 pbc="T T T"
Nd -2.3631 1.1201 3.4817
Nd -7.0893 4.2909 10.4450
Nd -5.4806 1.4290 8.1513
Nd -0.7544 3.9820 1.1880
Nd -1.5676 1.3245 7.4141
Nd 3.1586 4.0865 0.4507
Nd -2.4398 1.3245 13.4760
Nd 2.2864 4.0865 6.5126
Nd 1.4732 1.4290 12.7387
Nd 6.1994 3.9820 5.7754
As 1.2424 1.4187 2.1085
As -3.4838 3.9922 9.0718
As -5.3627 1.2993 12.0258
As -0.6364 4.1116 5.0624
As 1.3552 1.2993 8.8643
As 6.0814 4.1116 1.9009
As 4.2026 1.4187 4.8549
As -0.5236 3.9922 11.8182
Cl 1.0770 1.3671 5.8215
Cl -3.6492 4.0439 12.7848
Cl -2.0037 1.3501 10.4450
Cl 2.7225 4.0609 3.4817
Cl 4.3680 1.3671 1.1419
Cl -0.3582 4.0439 8.1052
O -0.5062 1.7609 2.1774
O -5.2324 3.6501 9.1407
O -5.5937 0.8313 10.3448
O -0.8675 4.5797 3.3815
O 1.1779 0.0538 0.8891
O -3.5483 5.3572 7.8525
O -6.4732 2.6882 12.2630
O -1.7470 2.7228 5.2997
O 1.3712 2.7059 0.7697
O -3.3551 2.7051 7.7330
O -6.6036 0.0807 12.5810
O -1.8774 5.3302 5.6176
O 2.5961 0.0807 8.3091
O 7.3224 5.3302 1.3457
O 4.0738 2.7059 6.1937
O -0.6524 2.7051 13.1570
O 2.4657 2.6882 8.6270
O 7.1919 2.7228 1.6637
O 4.2671 0.0538 6.0742
O -0.4591 5.3572 13.0376
O 1.5862 0.8313 10.5452
O 6.3124 4.5797 3.5819
O 5.9511 1.7609 4.7860
O 1.2249 3.6501 11.7493
```

Properties
**Total magnetization**: 0.00 μB/f.u.
**Space-group type**: No. 13



# 3
The following is a meta-GGA SCAN calculation of Ni3AsCl at its PBEsol-relaxed geometry, from the Alexandria database.

```
5
Lattice="4.3569 0.0000 0.0000 0.0000 4.3569 0.0000 0.0000 0.0000 4.3569" Properties=species:S:1:pos:R:3 pbc="T T T"
Ni 0.0000 0.0000 2.1784
Ni 0.0000 2.1784 0.0000
Ni 2.1784 0.0000 0.0000
As 0.0000 0.0000 0.0000
Cl 2.1784 2.1784 2.1784
```

Properties
**Total magnetization**: 0.00 μB/f.u.
**Space-group type**: No. 221
**Polymorph energy (0 for the lowest one)**: 0.000 eV/atom



no.,electronic total energy (eV for the cell shown),formation energy from raw total energies (kJ per mole of atoms)
1,-81.4,27.6
2,-924.8,-261.4
3,-73.8,55.9